Record 1
# Mn2CuF, optimized geometry, DFT PBEsol
data_Mn2CuF
_chemical_formula_sum 'Mn8 Cu4 F4'
_cell_length_a 5.864
_cell_length_b 5.864
_cell_length_c 5.864
_cell_angle_alpha 90.00
_cell_angle_beta 90.00
_cell_angle_gamma 90.00
_space_group_name_H-M_alt 'F m -3 m'
_space_group_IT_number 225
_space_group_name_Hall '-F 4 2 3'
loop_
_atom_site_label
_atom_site_type_symbol
_atom_site_fract_x
_atom_site_fract_y
_atom_site_fract_z
Mn1 Mn 0.250 0.250 0.250
Cu1 Cu 0.000 0.000 0.000
F1 F 0.000 0.000 0.500
# Magnetic moment: 1.98 μB per atom
# Crystal system: cubic
# Uncorrected formation energy: 0.5 eV per formula unit

---

Record 2
# CuMoF6, optimized geometry, DFT PBEsol
data_CuMoF6
_chemical_formula_sum 'Cu3 Mo3 F18'
_cell_length_a 5.0164
_cell_length_b 5.0164
_cell_length_c 14.0032
_cell_angle_alpha 90.00
_cell_angle_beta 90.00
_cell_angle_gamma 120.00
_space_group_name_H-M_alt 'R -3'
_space_group_IT_number 148
_space_group_name_Hall '-R 3'
loop_
_atom_site_label
_atom_site_type_symbol
_atom_site_fract_x
_atom_site_fract_y
_atom_site_fract_z
Cu1 Cu 0.0000 0.0000 0.0000
Mo1 Mo 0.0000 0.0000 0.5000
F1 F 0.0146 0.6498 0.2464
# Magnetic moment: 0.12 μB per atom
# Crystal system: trigonal
# Uncorrected formation energy: -17.1 eV per formula unit

---

Record 3
# Cu3MoF, optimized geometry, DFT PBEsol
data_Cu3MoF
_chemical_formula_sum 'Cu3 Mo1 F1'
_cell_length_a 4.613
_cell_length_b 4.613
_cell_length_c 4.613
_cell_angle_alpha 90.00
_cell_angle_beta 90.00
_cell_angle_gamma 90.00
_space_group_name_H-M_alt 'P m -3 m'
_space_group_IT_number 221
_space_group_name_Hall '-P 4 2 3'
loop_
_atom_site_label
_atom_site_type_symbol
_atom_site_fract_x
_atom_site_fract_y
_atom_site_fract_z
Cu1 Cu 0.000 0.000 0.500
Mo1 Mo 0.000 0.000 0.000
F1 F 0.500 0.500 0.500
# Magnetic moment: 0.00 μB per atom
# Crystal system: cubic
# Uncorrected formation energy: 7.9 eV per formula unit

---

Record 4
# CuNF2, optimized geometry, DFT PBEsol
data_CuNF2
_chemical_formula_sum 'Cu3 N3 F6'
_cell_length_a 2.6564
_cell_length_b 2.6564
_cell_length_c 19.4525
_cell_angle_alpha 90.00
_cell_angle_beta 90.00
_cell_angle_gamma 120.00
_space_group_name_H-M_alt 'R -3 m'
_space_group_IT_number 166
_space_group_name_Hall '-R 3 2"'
loop_
_atom_site_label
_atom_site_type_symbol
_atom_site_fract_x
_atom_site_fract_y
_atom_site_fract_z
Cu1 Cu 0.0000 0.0000 0.0000
N1 N 0.0000 0.0000 0.5000
F1 F 0.0000 0.0000 0.4087
# Polymorph energy (0 for the lowest one): 0 kJ/mol of formula units
# Magnetic moment: 0.00 μB per atom
# Crystal system: trigonal
# Uncorrected formation energy: 1.9 eV per formula unit

---

Record 5
# CuNF2, optimized geometry, DFT PBEsol
data_CuNF2
_chemical_formula_sum 'Cu4 N4 F8'
_cell_length_a 5.319
_cell_length_b 5.319
_cell_length_c 5.319
_cell_angle_alpha 90.00
_cell_angle_beta 90.00
_cell_angle_gamma 90.00
_space_group_name_H-M_alt 'F m -3 m'
_space_group_IT_number 225
_space_group_name_Hall '-F 4 2 3'
loop_
_atom_site_label
_atom_site_type_symbol
_atom_site_fract_x
_atom_site_fract_y
_atom_site_fract_z
Cu1 Cu 0.000 0.000 0.000
N1 N 0.000 0.000 0.500
F1 F 0.250 0.250 0.250
# Polymorph energy (0 for the lowest one): 59 kJ/mol of formula units
# Magnetic moment: 0.50 μB per atom
# Crystal system: cubic
# Uncorrected formation energy: 2.5 eV per formula unit

---

Record 6
# NaCuN2F, optimized geometry, DFT PBEsol
data_NaCuN2F
_chemical_formula_sum 'Na1 Cu1 N2 F1'
_cell_length_a 3.571
_cell_length_b 3.571
_cell_length_c 4.833
_cell_angle_alpha 90.00
_cell_angle_beta 90.00
_cell_angle_gamma 90.00
_space_group_name_H-M_alt 'P 4/m m m'
_space_group_IT_number 123
_space_group_name_Hall '-P 4 2'
loop_
_atom_site_label
_atom_site_type_symbol
_atom_site_fract_x
_atom_site_fract_y
_atom_site_fract_z
Na1 Na 0.000 0.000 0.000
Cu1 Cu 0.500 0.500 0.500
N1 N 0.000 0.500 0.500
F1 F 0.500 0.500 0.000
# Magnetic moment: 0.38 μB per atom
# Crystal system: tetragonal
# Uncorrected formation energy: 1.7 eV per formula unit